## i
## InPbN2F (PBE)

Data for InPbN2F after structural relaxation.

abc: 4.4124 4.4124 4.5278
angles: 90.00 90.00 90.00
Each line ends with the local moment (μB).
Fractional coordinates of all 5 atoms:
F 0.0000 0.0000 0.5000  -0.01
Pb 0.0000 0.0000 0.0000  -0.01
In 0.5000 0.5000 0.5000  0.11
N 0.5000 0.0000 0.0000  0.58
N 0.0000 0.5000 0.0000  0.58

Density of states at the Fermi level in states/eV per atom: 0.452
ρ in g cm⁻³: 7.0
Symmetry: P4/mmm
Total magnetization in μB/f.u.: 1.8



## ii
## InPbN2F (PBE)

Data for InPbN2F after structural relaxation.

abc: 4.2995 4.2995 4.3544
angles: 90.00 90.00 90.00
Each line ends with the local moment (μB).
Fractional coordinates of all 5 atoms:
N 0.5000 0.0000 0.0000  0.65
In 0.0000 0.0000 0.0000  0.00
Pb 0.5000 0.5000 0.5000  -0.01
F 0.0000 0.0000 0.5000  -0.01
N 0.0000 0.5000 0.0000  0.65

Density of states at the Fermi level in states/eV per atom: 0.533
ρ in g cm⁻³: 7.6
Symmetry: P4/mmm
Total magnetization in μB/f.u.: 1.8



Pick ii: it beats the second-best structure by 37.0 kJ/mol of atoms.



## i
## InPdNF2 (PBE)

Data for InPdNF2 after structural relaxation.

abc: 4.2258 4.2258 4.3221
angles: 90.00 90.00 90.00
Each line ends with the local moment (μB).
Fractional coordinates of all 5 atoms:
N 0.0000 0.0000 0.5000  0.73
In 0.0000 0.0000 0.0000  -0.02
F 0.5000 0.0000 0.0000  0.02
F 0.0000 0.5000 0.0000  0.02
Pd 0.5000 0.5000 0.5000  0.60

Density of states at the Fermi level in states/eV per atom: 0.463
ρ in g cm⁻³: 5.9
Symmetry: P4/mmm
Total magnetization in μB/f.u.: 1.8



## ii
## InPdNF2 (PBE)

Data for InPdNF2 after structural relaxation.

abc: 4.6714 4.6714 3.6879
angles: 90.00 90.00 90.00
Fractional coordinates of all 5 atoms:
F 0.5000 0.0000 0.0000
F 0.0000 0.5000 0.0000
In 0.5000 0.5000 0.5000
N 0.0000 0.0000 0.5000
Pd 0.0000 0.0000 0.0000

Density of states at the Fermi level in states/eV per atom: 0.347
ρ in g cm⁻³: 5.6
Symmetry: P4/mmm
Total magnetization in μB/f.u.: 0.0



Pick ii: it beats the second-best structure by 10.4 kJ/mol of atoms.



## i
## InPtNF2 (PBE)

Data for InPtNF2 after structural relaxation.

abc: 4.0998 4.0998 4.4751
angles: 90.00 90.00 90.00
Each line ends with the local moment (μB).
Fractional coordinates of all 5 atoms:
F 0.0000 0.5000 0.0000  0.02
Pt 0.5000 0.5000 0.5000  0.56
F 0.5000 0.0000 0.0000  0.02
In 0.0000 0.0000 0.0000  0.00
N 0.0000 0.0000 0.5000  0.08

Density of states at the Fermi level in states/eV per atom: 0.504
ρ in g cm⁻³: 8.0
Symmetry: P4/mmm
Total magnetization in μB/f.u.: 0.8



## ii
## InPtNF2 (PBE)

Data for InPtNF2 after structural relaxation.

abc: 4.7672 4.7672 3.6719
angles: 90.00 90.00 90.00
Fractional coordinates of all 5 atoms:
In 0.5000 0.5000 0.5000
N 0.0000 0.0000 0.5000
Pt 0.0000 0.0000 0.0000
F 0.0000 0.5000 0.0000
F 0.5000 0.0000 0.0000

Density of states at the Fermi level in states/eV per atom: 0.412
ρ in g cm⁻³: 7.2
Symmetry: P4/mmm
Total magnetization in μB/f.u.: 0.0



Pick ii: it beats the second-best structure by 40.6 kJ/mol of atoms.



## i
## InReNF2 (PBE)

Data for InReNF2 after structural relaxation.

abc: 4.3999 4.3999 3.8245
angles: 90.00 90.00 90.00
Each line ends with the local moment (μB).
Fractional coordinates of all 5 atoms:
F 0.5000 0.0000 0.0000  0.00
In 0.5000 0.5000 0.5000  0.00
N 0.0000 0.0000 0.5000  0.00
F 0.0000 0.5000 0.0000  0.00
Re 0.0000 0.0000 0.0000  0.23

Density of states at the Fermi level in states/eV per atom: 0.625
ρ in g cm⁻³: 7.9
Symmetry: P4/mmm
Total magnetization in μB/f.u.: 0.3



## ii
## InReNF2 (PBE)

Data for InReNF2 after structural relaxation.

abc: 4.1842 4.1842 4.3961
angles: 90.00 90.00 90.00
Each line ends with the local moment (μB).
Fractional coordinates of all 5 atoms:
Re 0.5000 0.5000 0.5000  4.04
F 0.0000 0.5000 0.0000  0.06
N 0.0000 0.0000 0.5000  -0.10
F 0.5000 0.0000 0.0000  0.06
In 0.0000 0.0000 0.0000  -0.01

Density of states at the Fermi level in states/eV per atom: 0.138
ρ in g cm⁻³: 7.6
Symmetry: P4/mmm
Total magnetization in μB/f.u.: 4.8



Pick i: it beats the second-best structure by 89.5 kJ/mol of atoms.



## i
## InReN2F (PBE)

Data for InReN2F after structural relaxation.

abc: 3.9277 3.9277 4.3847
angles: 90.00 90.00 90.00
Fractional coordinates of all 5 atoms:
Re 0.0000 0.0000 0.0000
N 0.5000 0.0000 0.0000
In 0.5000 0.5000 0.5000
N 0.0000 0.5000 0.0000
F 0.0000 0.0000 0.5000

Density of states at the Fermi level in states/eV per atom: 0.600
ρ in g cm⁻³: 8.5
Symmetry: P4/mmm
Total magnetization in μB/f.u.: 0.0



## ii
## InReN2F (PBE)

Data for InReN2F after structural relaxation.

abc: 4.2467 4.2467 4.0459
angles: 90.00 90.00 90.00
Each line ends with the local moment (μB).
Fractional coordinates of all 5 atoms:
In 0.0000 0.0000 0.0000  0.00
N 0.0000 0.5000 0.0000  -0.38
Re 0.5000 0.5000 0.5000  3.62
N 0.5000 0.0000 0.0000  -0.38
F 0.0000 0.0000 0.5000  0.06

Density of states at the Fermi level in states/eV per atom: 0.473
ρ in g cm⁻³: 7.9
Symmetry: P4/mmm
Total magnetization in μB/f.u.: 3.3



Pick i: it beats the second-best structure by 142.5 kJ/mol of atoms.



## i
## InS2NF (PBE)

Data for InS2NF after structural relaxation.

abc: 4.3264 4.3264 4.7704
angles: 90.00 90.00 90.00
Each line ends with the local moment (μB).
Fractional coordinates of all 5 atoms:
In 0.5000 0.5000 0.5000  0.01
S 0.5000 0.0000 0.0000  0.03
F 0.0000 0.0000 0.0000  0.04
S 0.0000 0.5000 0.0000  0.03
N 0.0000 0.0000 0.5000  1.67

Density of states at the Fermi level in states/eV per atom: 0.581
ρ in g cm⁻³: 3.9
Symmetry: P4/mmm
Total magnetization in μB/f.u.: 2.6



## ii
## InS2NF (PBE)

Data for InS2NF after structural relaxation.

abc: 5.2415 5.2415 4.1550
angles: 90.00 90.00 90.00
Each line ends with the local moment (μB).
Fractional coordinates of all 5 atoms:
In 0.0000 0.0000 0.0000  -0.03
N 0.0000 0.0000 0.5000  1.18
F 0.5000 0.5000 0.5000  0.48
S 0.0000 0.5000 0.0000  0.87
S 0.5000 0.0000 0.0000  0.87

Density of states at the Fermi level in states/eV per atom: 0.458
ρ in g cm⁻³: 3.1
Symmetry: P4/mmm
Total magnetization in μB/f.u.: 5.0



Pick ii: it beats the second-best structure by 12.6 kJ/mol of atoms.